The following is a GGA-PBE calculation of a relaxed NaBiTePOs crystal, from Alexandria via LeMat-Bulk.

Results
Total magnetization, μB/atom: 0.00
Formation energy without anion corrections, eV/f.u.: -0.3
Offset from the most stable computed form, meV per atom: 6
Symmetry: No. 1

Lattice parameters (Å, degrees): 4.122 4.337 7.492 85.17 74.40 89.99
Element x y z (fractional)
Na1 0.000 0.000 0.000
Bi1 0.195 0.575 0.628
Te1 0.442 0.479 0.122
P1 0.780 0.949 0.453
Os1 0.828 0.454 0.354